(1)
This record from Alexandria via LeMat-Bulk describes an optimized crystal structure of Co3As. The functional is PBEsol. Values from VASP.

```
&SYSTEM
  ibrav = 0, nat = 8, ntyp = 2
/
ATOMIC_SPECIES
Co 58.93 Co.upf
As 74.92 As.upf
ATOMIC_POSITIONS angstrom
Co 2.894 -2.704 0.799
Co -1.156 -3.790 0.792
Co 0.836 -1.972 1.301
Co -0.964 -2.185 -0.760
Co 1.624 -1.424 -1.271
Co 0.757 -2.806 -2.807
As 0.000 0.000 0.000
As 0.998 -3.720 -0.487
CELL_PARAMETERS angstrom
-0.385 -3.210 3.105
-1.735 -2.764 -3.073
4.116 -1.465 -1.005
```

Values from the calculation:
formation energy	0.053	eV per atom
mass density	9.28	Mg/m³
crystal system	cubic
SG	No. 223

---

(2)
This record from Alexandria via LeMat-Bulk describes an optimized crystal structure of Co3As. The functional is PBEsol. Values from VASP.

```
&SYSTEM
  ibrav = 0, nat = 4, ntyp = 2
/
ATOMIC_SPECIES
Co 58.93 Co.upf
As 74.92 As.upf
ATOMIC_POSITIONS angstrom
Co 3.987 2.302 5.677
Co 1.329 0.767 1.895
Co 2.658 1.535 3.786
As 0.000 0.000 0.000
CELL_PARAMETERS angstrom
2.658 0.000 0.000
1.329 2.302 0.000
1.329 0.767 7.572
```

Values from the calculation:
formation energy	0.188	eV per atom
mass density	9.02	Mg/m³
crystal system	trigonal
SG	No. 166

---

(3)
This record from Alexandria via LeMat-Bulk describes an optimized crystal structure of CoAs2. The functional is PBEsol. Values from VASP.

```
&SYSTEM
  ibrav = 0, nat = 6, ntyp = 2
/
ATOMIC_SPECIES
As 74.92 As.upf
Co 58.93 Co.upf
ATOMIC_POSITIONS angstrom
As 0.000 4.106 2.114
As 0.000 0.953 3.710
As 1.530 3.483 5.026
As 1.530 1.577 0.798
Co 0.000 0.000 0.000
Co 1.530 2.530 2.912
CELL_PARAMETERS angstrom
3.060 0.000 0.000
0.000 5.060 0.000
0.000 0.000 5.824
```

Values from the calculation:
formation energy	-0.369	eV per atom
mass density	7.69	Mg/m³
crystal system	orthorhombic
SG	No. 58

---

(4)
This record from Alexandria via LeMat-Bulk describes an optimized crystal structure of CoAs2. The functional is PBEsol. Values from VASP.

```
&SYSTEM
  ibrav = 0, nat = 6, ntyp = 2
/
ATOMIC_SPECIES
As 74.92 As.upf
Co 58.93 Co.upf
ATOMIC_POSITIONS angstrom
As -3.529 -0.469 -1.930
As -4.005 0.195 0.568
As -1.554 -0.365 -0.199
As -3.348 -2.278 -0.033
Co -6.218 -1.458 -0.797
Co -9.327 -2.187 -1.196
CELL_PARAMETERS angstrom
-4.900 1.118 1.534
-3.949 -0.208 -3.461
-3.587 -3.826 0.333
```

Values from the calculation:
formation energy	0.997	eV per atom
mass density	6.76	Mg/m³
crystal system	cubic
SG	No. 227